Record 1
The following is a DFT calculation (PBE-GGA) of an optimized crystal structure of ScTcTe2I.

a b c (Å): 5.227 5.227 5.466
angles (deg): 90.00 90.00 90.00
Space group P4/mmm (No. 123)
One atom of each set of equivalent atoms:
Sc  0.000  0.000  0.000
Tc  0.500  0.500  0.500
Te  0.000  0.500  0.500
I  0.500  0.500  0.000

**Formation energy (no corrections)**: 0.361 eV per atom
**Total moment**: 0.311 μB/atom
**Energy above the lowest structure with this stoichiometry**: 0 meV per atom
**Energy**: -4.5456 eV/atom

=====

Record 2
The following is a DFT calculation (PBE-GGA) of an optimized crystal structure of TbMn2Ni5.

a b c (Å): 3.668 6.594 9.356
angles (deg): 90.00 90.00 90.00
Space group Immm (No. 71)
One atom of each set of equivalent atoms:
Tb  0.000  0.000  0.000
Mn  0.000  0.500  0.247
Ni  0.000  0.188  0.365
Ni  0.000  0.500  0.000

**Total moment**: 1.028 μB/atom
**Formation energy**: -0.019 eV/atom
**Energy**: -6.5034 eV/atom

=====

Record 3
The following is a DFT calculation (PBE-GGA) of an optimized crystal structure of K2ZrFe.

a b c (Å): 3.406 6.527 12.545
angles (deg): 90.00 90.00 90.00
Space group Imm2 (No. 44)
One atom of each set of equivalent atoms:
K  0.000  0.000  0.000
K  0.000  0.500  0.189
Zr  0.000  0.500  0.819
Fe  0.000  0.000  0.449

**Total moment**: 0.186 μB/atom
**Formation energy**: 0.821 eV/atom
**Energy above the lowest structure with this stoichiometry**: 268 meV per atom
**Energy**: -3.9804 eV/atom

=====

Record 4
The following is a DFT calculation (PBE-GGA) of an optimized crystal structure of Pm9Pr4Al11.

a b c (Å): 15.800 22.803 3.497
angles (deg): 90.00 90.00 90.00
Space group Cmmm (No. 65)
One atom of each set of equivalent atoms:
Pm  0.000  0.000  0.000
Pm  0.106  0.403  0.000
Pm  0.112  0.223  0.000
Pr  0.179  0.083  0.000
Al  0.000  0.121  0.500
Al  0.000  0.311  0.500
Al  0.000  0.500  0.500
Al  0.195  0.500  0.500
Al  0.225  0.312  0.500

**Total moment**: 0.000 μB/atom
**Formation energy**: -0.294 eV/atom
**Energy**: -4.5875 eV/atom

=====

Record 5
The following is a DFT calculation (PBE-GGA) of an optimized crystal structure of YThOs.

a b c (Å): 6.897 6.897 6.897
angles (deg): 90.00 90.00 90.00
Space group F-43m (No. 216)
One atom of each set of equivalent atoms:
Y  0.000  0.000  0.000
Th  0.000  0.000  0.500
Os  0.250  0.250  0.750

**Total moment**: 0.000 μB/atom
**Formation energy**: -0.206 eV/atom
**Energy above the lowest structure with this stoichiometry**: 0 meV per atom
**Energy**: -8.5774 eV/atom

=====

Record 6
The following is a DFT calculation (PBE-GGA) of an optimized crystal structure of EuScCdPd.

a b c (Å): 7.188 7.188 7.188
angles (deg): 90.00 90.00 90.00
Space group F-43m (No. 216)
One atom of each set of equivalent atoms:
Eu  0.000  0.000  0.000
Sc  0.000  0.000  0.500
Cd  0.250  0.250  0.250
Pd  0.250  0.250  0.750

**Total moment**: 1.755 μB/atom
**Formation energy**: -0.394 eV/atom
**Energy**: -6.0727 eV/atom